No. 1
Dy3I7Br | PBE | optimized geometry

formation energy from raw total energies	-1.375	eV/atom
final energy	-41.45	eV/cell

a b c (Å): 8.5946 8.5946 7.6266
angles (deg): 90.00 90.00 120.00
Space group P3m1 (No. 156)
One atom of each set of equivalent atoms:
Dy (0.1680, 0.3360, 0.0000) (multiplicity 3)
I (0.0000, 0.0000, 0.2419) (multiplicity 1)
I (0.0029, 0.5015, 0.2329) (multiplicity 3)
I (0.3300, 0.1650, 0.7685) (multiplicity 3)
Br (0.3333, 0.6667, 0.7925) (multiplicity 1)

---

No. 2
SmMg4Ga2 | PBE | optimized geometry

relative energy among the computed polymorphs	0.000	eV per atom
final energy	-38.22	eV/cell
DFT formation energy	-0.280	eV/atom

a b c (Å): 4.3873 16.3180 4.3488
angles (deg): 90.00 90.00 90.00
Space group Cmmm (No. 65)
One atom of each set of equivalent atoms:
Sm (0.0000, 0.0000, 0.0000) (multiplicity 2)
Mg (0.0000, 0.1769, 0.5000) (multiplicity 4)
Mg (0.0000, 0.3210, 0.0000) (multiplicity 4)
Ga (0.0000, 0.4250, 0.5000) (multiplicity 4)

---

No. 3
Sc11Hg9Pd4 | PBE | optimized geometry

final energy	-214.20	eV/cell
DFT formation energy	-0.582	eV/atom

a b c (Å): 13.9871 20.9339 3.3824
angles (deg): 90.00 90.00 90.00
Space group Cmmm (No. 65)
One atom of each set of equivalent atoms:
Sc (0.0000, 0.0000, 0.0000) (multiplicity 2)
Sc (0.0000, 0.1630, 0.0000) (multiplicity 4)
Sc (0.0000, 0.3645, 0.0000) (multiplicity 4)
Sc (0.2070, 0.5000, 0.0000) (multiplicity 4)
Sc (0.2444, 0.1701, 0.0000) (multiplicity 8)
Hg (0.0000, 0.5000, 0.5000) (multiplicity 2)
Hg (0.1095, 0.2592, 0.5000) (multiplicity 8)
Hg (0.1385, 0.0752, 0.5000) (multiplicity 8)
Pd (0.1492, 0.4010, 0.5000) (multiplicity 8)

---

No. 4
Nd2OsO6 | PBE | optimized geometry

relative energy among the computed polymorphs	0.233	eV per atom
formation energy from raw total energies	-2.104	eV/atom
final energy	-138.91	eV/cell

a b c (Å): 3.7830 5.4852 11.1195
angles (deg): 90.00 90.00 90.00
Space group Immm (No. 71)
One atom of each set of equivalent atoms:
Nd (0.0000, 0.0000, 0.1666) (multiplicity 4)
Os (0.0000, 0.0000, 0.5000) (multiplicity 2)
O (0.0000, 0.2297, 0.3554) (multiplicity 8)
O (0.0000, 0.2949, 0.0000) (multiplicity 4)

---

No. 5
BaHfZn2Br | PBE | optimized geometry

formation energy from raw total energies	0.779	eV/atom
final energy	-12.20	eV/cell

a b c (Å): 5.4521 5.4521 5.8913
angles (deg): 90.00 90.00 90.00
Space group P4/mmm (No. 123)
One atom of each set of equivalent atoms:
Ba (0.0000, 0.0000, 0.0000) (multiplicity 1)
Hf (0.5000, 0.5000, 0.0000) (multiplicity 1)
Zn (0.0000, 0.5000, 0.5000) (multiplicity 2)
Br (0.0000, 0.0000, 0.5000) (multiplicity 1)

---

No. 6
V3CrMo2 | PBE | optimized geometry

relative energy among the computed polymorphs	0.000	eV per atom
final energy	-236.90	eV/cell
DFT formation energy	-0.097	eV/atom

a b c (Å): 4.2791 12.8296 6.0538
angles (deg): 90.00 90.00 90.00
Space group Cmmm (No. 65)
One atom of each set of equivalent atoms:
V (0.0000, 0.0000, 0.2451) (multiplicity 4)
V (0.0000, 0.3307, 0.2419) (multiplicity 8)
Cr (0.0000, 0.1692, 0.0000) (multiplicity 4)
Mo (0.0000, 0.1665, 0.5000) (multiplicity 4)
Mo (0.0000, 0.5000, 0.0000) (multiplicity 2)
Mo (0.0000, 0.5000, 0.5000) (multiplicity 2)

---

No. 7
Zr4CoCu3 | PBE | optimized geometry

final energy	-55.02	eV/cell
DFT formation energy	-0.179	eV/atom

a b c (Å): 3.2890 4.1772 10.1709
angles (deg): 90.00 90.00 90.00
Space group Pmm2 (No. 25)
One atom of each set of equivalent atoms:
Zr (0.0000, 0.0000, 0.0000) (multiplicity 1)
Zr (0.0000, 0.5000, 0.2769) (multiplicity 1)
Zr (0.5000, 0.0000, 0.4803) (multiplicity 1)
Zr (0.5000, 0.5000, 0.7856) (multiplicity 1)
Co (0.5000, 0.0000, 0.2195) (multiplicity 1)
Cu (0.0000, 0.0000, 0.7099) (multiplicity 1)
Cu (0.0000, 0.5000, 0.5597) (multiplicity 1)
Cu (0.5000, 0.5000, 0.0606) (multiplicity 1)

---

No. 8
AcPr2Nd2Y | PBE | optimized geometry

final energy	-58.70	eV/cell
DFT formation energy	0.053	eV/atom

a b c (Å): 7.3302 5.8777 10.1628
angles (deg): 90.00 90.00 90.00
Space group Pmma (No. 51)
One atom of each set of equivalent atoms:
Ac (0.0000, 0.0000, 0.0000) (multiplicity 2)
Pr (0.0000, 0.5000, 0.5000) (multiplicity 2)
Pr (0.2500, 0.0000, 0.3336) (multiplicity 2)
Nd (0.2500, 0.0000, 0.6619) (multiplicity 2)
Nd (0.2500, 0.5000, 0.1731) (multiplicity 2)
Y (0.2500, 0.5000, 0.8333) (multiplicity 2)

---

No. 9
Zn2AsAu | PBE | optimized geometry

final energy	-21.09	eV/cell
DFT formation energy	-0.017	eV/atom

a b c (Å): 7.4166 2.8908 8.1253
angles (deg): 90.00 112.67 90.00
Space group C2/m (No. 12)
One atom of each set of equivalent atoms:
Zn (0.1388, 0.0000, 0.2904) (multiplicity 4)
As (0.0000, 0.5000, 0.5000) (multiplicity 2)
Au (0.0000, 0.5000, 0.0000) (multiplicity 2)

---

No. 10
SrFeIr3 | PBE | optimized geometry

relative energy among the computed polymorphs	2.566	eV per atom
final energy	-20.37	eV/cell
DFT formation energy	3.271	eV/atom

a b c (Å): 4.8966 4.8966 4.8966
angles (deg): 90.00 90.00 90.00
Space group Pm-3m (No. 221)
One atom of each set of equivalent atoms:
Sr (0.0000, 0.0000, 0.0000) (multiplicity 1)
Fe (0.5000, 0.5000, 0.5000) (multiplicity 1)
Ir (0.0000, 0.0000, 0.5000) (multiplicity 3)

---

No. 11
Cu2Ir | PBE | optimized geometry

relative energy among the computed polymorphs	0.018	eV per atom
final energy	-67.37	eV/cell
DFT formation energy	0.070	eV/atom

a b c (Å): 2.6666 13.5336 4.3569
angles (deg): 90.00 90.00 90.00
Space group Cmcm (No. 63)
One atom of each set of equivalent atoms:
Cu (0.0000, 0.0551, 0.2500) (multiplicity 4)
Cu (0.0000, 0.3966, 0.2500) (multiplicity 4)
Ir (0.0000, 0.2749, 0.7500) (multiplicity 4)

---

No. 12
Ho8NiAg2 | PBE | optimized geometry

relative energy among the computed polymorphs	0.000	eV per atom
final energy	-99.56	eV/cell
DFT formation energy	-0.152	eV/atom

a b c (Å): 17.3158 5.1838 6.7514
angles (deg): 90.00 106.92 90.00
Space group C2/m (No. 12)
One atom of each set of equivalent atoms:
Ho (0.0267, 0.0000, 0.2864) (multiplicity 4)
Ho (0.0895, 0.5000, 0.9334) (multiplicity 4)
Ho (0.1573, 0.5000, 0.4673) (multiplicity 4)
Ho (0.2011, 0.0000, 0.8098) (multiplicity 4)
Ni (0.0000, 0.5000, 0.5000) (multiplicity 2)
Ag (0.1855, 0.0000, 0.2227) (multiplicity 4)

---

- Among the records above, which one has the highest final energy?
  BaHfZn2Br

---

- Look up the final energy of the second one.
  -38.22 eV/cell